1.
This record from Alexandria via LeMat-Bulk describes La2TlF at its PBEsol-relaxed geometry. The functional is SCAN.

Cell: 5.281 5.281 5.281 Å, 60.00 60.00 60.00°
Element x y z (fractional)
Tl 0.500 0.500 0.500
F 0.000 0.000 0.000
La 0.250 0.250 0.250
La 0.750 0.750 0.750

Summary:
- E_form (uncorrected): -128 kJ/mol of atoms
- Symmetry: Fm-3m
- ρ: 8.0 g cm⁻³

2.
This record from Alexandria via LeMat-Bulk describes Ti3NbTe at its PBEsol-relaxed geometry. The functional is SCAN.

Cell: 4.754 4.754 4.754 Å, 90.00 90.00 90.00°
Element x y z (fractional)
Nb 0.000 0.000 0.000
Te 0.500 0.500 0.500
Ti 0.000 0.500 0.000
Ti 0.000 0.000 0.500
Ti 0.500 0.000 0.000

Summary:
- E_form (uncorrected): 75 kJ/mol of atoms
- Symmetry: Pm-3m
- ρ: 5.6 g cm⁻³

3.
This record from Alexandria via LeMat-Bulk describes Cr4IrRh at its PBEsol-relaxed geometry. The functional is SCAN.

Cell: 4.662 4.662 4.662 Å, 60.00 60.00 60.00°
Element x y z (fractional)
Cr 0.374 0.374 0.374
Cr 0.374 0.374 0.879
Cr 0.879 0.374 0.374
Cr 0.374 0.879 0.374
Ir 0.750 0.750 0.750
Rh 0.000 0.000 0.000

Summary:
- Symmetry: F-43m
- Energy relative to the elements: -0.118 eV/atom
- ρ: 11.7 g cm⁻³

4.
This record from Alexandria via LeMat-Bulk describes Ho2Cu2O5 at its PBEsol-relaxed geometry. The functional is SCAN.

Cell: 3.459 10.727 12.328 Å, 90.00 90.00 90.00°
Element x y z (fractional)
Ho 0.718 0.457 0.831
Ho 0.282 0.543 0.331
Ho 0.782 0.957 0.831
Ho 0.218 0.043 0.331
Ho 0.716 0.292 0.503
Ho 0.284 0.708 0.003
Ho 0.784 0.792 0.503
Ho 0.216 0.208 0.003
Cu 0.153 0.238 0.719
Cu 0.847 0.762 0.219
Cu 0.347 0.738 0.719
Cu 0.653 0.262 0.219
Cu 0.158 0.511 0.614
Cu 0.842 0.489 0.114
Cu 0.342 0.011 0.614
Cu 0.658 0.989 0.114
O 0.722 0.077 0.975
O 0.278 0.923 0.475
O 0.778 0.577 0.975
O 0.222 0.423 0.475
O 0.280 0.072 0.765
O 0.720 0.928 0.265
O 0.220 0.572 0.765
O 0.780 0.428 0.265
O 0.839 0.375 0.667
O 0.161 0.625 0.167
O 0.661 0.875 0.667
O 0.339 0.125 0.167
O 0.213 0.177 0.567
O 0.787 0.823 0.067
O 0.287 0.677 0.567
O 0.713 0.323 0.067
O 0.721 0.174 0.358
O 0.279 0.826 0.858
O 0.779 0.674 0.358
O 0.221 0.326 0.858

Summary:
- E_form (uncorrected): -244 kJ/mol of atoms
- Symmetry: Pna2_1
- ρ: 7.8 g cm⁻³

5.
This record from Alexandria via LeMat-Bulk describes Hf3HgAs at its PBEsol-relaxed geometry. The functional is SCAN.

Cell: 4.867 4.867 4.867 Å, 90.00 90.00 90.00°
Element x y z (fractional)
As 0.000 0.000 0.000
Hf 0.000 0.500 0.000
Hf 0.000 0.000 0.500
Hf 0.500 0.000 0.000
Hg 0.500 0.500 0.500

Summary:
- Symmetry: Pm-3m
- Energy relative to the elements: 0.133 eV/atom
- ρ: 11.7 g cm⁻³

6.
This record from Alexandria via LeMat-Bulk describes LiCuAg2 at its PBEsol-relaxed geometry. The functional is SCAN.

Cell: 2.798 4.578 4.578 Å, 102.27 90.02 90.02°
Element x y z (fractional)
Ag 0.000 0.500 0.000
Ag 0.000 0.000 0.500
Cu 0.500 0.500 0.500
Li 0.500 0.000 0.000

Summary:
- Symmetry: Cmmm
- Energy relative to the elements: -0.045 eV/atom
- ρ: 8.3 g cm⁻³

7.
This record from Alexandria via LeMat-Bulk describes Cu8SiS6 at its PBEsol-relaxed geometry. The functional is SCAN.

Cell: 6.758 6.896 9.514 Å, 90.00 90.00 90.00°
Element x y z (fractional)
Cu 0.730 0.000 0.476
Cu 0.270 0.500 0.976
Cu 0.393 0.500 0.533
Cu 0.607 0.000 0.033
Cu 0.157 0.792 0.153
Cu 0.843 0.708 0.653
Cu 0.843 0.292 0.653
Cu 0.157 0.208 0.153
Cu 0.108 0.793 0.853
Cu 0.892 0.707 0.353
Cu 0.892 0.293 0.353
Cu 0.108 0.207 0.853
Cu 0.528 0.799 0.260
Cu 0.472 0.701 0.760
Cu 0.472 0.299 0.760
Cu 0.528 0.201 0.260
Si 0.253 0.000 0.511
Si 0.747 0.500 0.011
S 0.206 0.500 0.743
S 0.794 0.000 0.243
S 0.502 0.500 0.146
S 0.498 0.000 0.646
S 0.998 0.500 0.147
S 0.002 0.000 0.647
S 0.754 0.757 0.892
S 0.246 0.743 0.392
S 0.246 0.257 0.392
S 0.754 0.243 0.892
S 0.274 0.000 0.998
S 0.726 0.500 0.498

Summary:
- E_form (uncorrected): -29 kJ/mol of atoms
- Symmetry: Pmn2_1
- ρ: 5.5 g cm⁻³

8.
This record from Alexandria via LeMat-Bulk describes LiLaSnTe2 at its PBEsol-relaxed geometry. The functional is SCAN.

Cell: 5.011 5.011 5.255 Å, 90.00 90.00 90.00°
Element x y z (fractional)
Te 0.000 0.500 0.000
Te 0.500 0.000 0.000
Li 0.000 0.000 0.000
Sn 0.500 0.500 0.500
La 0.000 0.000 0.500

Summary:
- E_form (uncorrected): -34 kJ/mol of atoms
- Symmetry: P4/mmm
- ρ: 6.5 g cm⁻³

9.
This record from Alexandria via LeMat-Bulk describes Ho3Ge13Ru4 at its PBEsol-relaxed geometry. The functional is SCAN.

Cell: 8.898 8.898 8.898 Å, 90.00 90.00 90.00°
Element x y z (fractional)
Ho 0.000 0.500 0.750
Ho 0.500 0.250 0.000
Ho 0.750 0.000 0.500
Ho 0.000 0.500 0.250
Ho 0.500 0.750 0.000
Ho 0.250 0.000 0.500
Ge 0.500 0.500 0.500
Ge 0.000 0.000 0.000
Ge 0.802 0.353 0.500
Ge 0.647 0.500 0.802
Ge 0.500 0.198 0.647
Ge 0.198 0.647 0.500
Ge 0.353 0.500 0.198
Ge 0.500 0.802 0.353
Ge 0.802 0.647 0.500
Ge 0.647 0.500 0.198
Ge 0.198 0.353 0.500
Ge 0.353 0.500 0.802
Ge 0.500 0.802 0.647
Ge 0.500 0.198 0.353
Ge 0.302 0.000 0.853
Ge 0.147 0.302 0.000
Ge 0.000 0.147 0.698
Ge 0.698 0.000 0.147
Ge 0.853 0.698 0.000
Ge 0.000 0.853 0.302
Ge 0.302 0.000 0.147
Ge 0.147 0.698 0.000
Ge 0.698 0.000 0.853
Ge 0.853 0.302 0.000
Ge 0.000 0.147 0.302
Ge 0.000 0.853 0.698
Ru 0.750 0.250 0.750
Ru 0.250 0.750 0.250
Ru 0.750 0.750 0.250
Ru 0.250 0.250 0.750
Ru 0.250 0.750 0.750
Ru 0.750 0.250 0.250
Ru 0.250 0.250 0.250
Ru 0.750 0.750 0.750

Summary:
- Symmetry: Pm-3n
- Energy relative to the elements: -0.512 eV/atom
- ρ: 8.7 g cm⁻³

10.
This record from Alexandria via LeMat-Bulk describes CrBr3 at its PBEsol-relaxed geometry. The functional is SCAN.

Cell: 3.244 3.501 9.263 Å, 90.00 90.00 90.00°
Element x y z (fractional)
Br 0.000 0.000 0.890
Br 0.000 0.500 0.556
Br 0.500 0.500 0.191
Cr 0.500 0.000 0.697

Summary:
- E_form (uncorrected): -38 kJ/mol of atoms
- Symmetry: Pmm2
- ρ: 4.6 g cm⁻³

11.
This record from Alexandria via LeMat-Bulk describes SrCrRe2 at its PBEsol-relaxed geometry. The functional is SCAN.

Cell: 2.754 2.754 9.384 Å, 90.00 90.00 109.83°
Element x y z (fractional)
Cr 0.500 0.500 0.207
Re 0.000 0.000 0.012
Re 0.500 0.500 0.786
Sr 0.000 0.000 0.495

Summary:
- Energy relative to the lowest polymorph listed for this composition: 0.000 eV per formula unit
- Symmetry: Cmm2
- Energy relative to the elements: 0.904 eV/atom
- ρ: 12.7 g cm⁻³

no.,size of the total moment (Bohr magnetons per cell)
1,0.00
2,2.39
3,0.00
4,8.00
5,0.00
6,0.00
7,0.00
8,0.00
9,0.00
10,3.67
11,0.00